Record 1
A plane-wave DFT calculation with PBE-GGA was carried out for an optimized crystal structure of ReAg2.

Summary:
The space group is P6_3/mmc, No. 194. As for the calculated total energy: -60.800 eV per cell. The formation energy comes out at 957.1 meV/atom.

a = 5.4035 Å, b = 5.4035 Å, c = 8.1590 Å
α = 90.00°, β = 90.00°, γ = 120.00°
Closest atoms and distances in Å follow each position.
Fractional positions:
Re (0.3333, 0.6667, 0.1061)  1 Re 2.35
Re (0.3333, 0.6667, 0.3939)  1 Re 2.35
Re (0.6667, 0.3333, 0.6061)  1 Re 2.35
Re (0.6667, 0.3333, 0.8939)  1 Re 2.35
Ag (0.0000, 0.0000, 0.0000)  6 Ag 2.61
Ag (0.0000, 0.0000, 0.5000)  6 Ag 2.61
Ag (0.1737, 0.3474, 0.7500)  6 Ag 2.59-2.82
Ag (0.1737, 0.8263, 0.7500)  6 Ag 2.59-2.82
Ag (0.3474, 0.1737, 0.2500)  6 Ag 2.59-2.82
Ag (0.6526, 0.8263, 0.7500)  6 Ag 2.59-2.82
Ag (0.8263, 0.1737, 0.2500)  6 Ag 2.59-2.82
Ag (0.8263, 0.6526, 0.2500)  6 Ag 2.59-2.82

Record 2
A plane-wave DFT calculation with PBE-GGA was carried out for an optimized crystal structure of RbMgPd.

Summary:
The space group is F-43m, No. 216. As for the calculated total energy: -21.130 eV per cell.

a = 7.5845 Å, b = 7.5845 Å, c = 7.5845 Å
α = 90.00°, β = 90.00°, γ = 90.00°
Closest atoms and distances in Å follow each position.
Fractional positions:
Rb (0.0000, 0.0000, 0.0000)  4 Mg 3.28, 4 Pd 3.28
Rb (0.0000, 0.5000, 0.5000)  4 Mg 3.28, 4 Pd 3.28
Rb (0.5000, 0.0000, 0.5000)  4 Mg 3.28, 4 Pd 3.28
Rb (0.5000, 0.5000, 0.0000)  4 Mg 3.28, 4 Pd 3.28
Mg (0.2500, 0.2500, 0.7500)  4 Rb 3.28
Mg (0.2500, 0.7500, 0.2500)  4 Rb 3.28
Mg (0.7500, 0.2500, 0.2500)  4 Rb 3.28
Mg (0.7500, 0.7500, 0.7500)  4 Rb 3.28
Pd (0.2500, 0.2500, 0.2500)  4 Rb 3.28
Pd (0.2500, 0.7500, 0.7500)  4 Rb 3.28
Pd (0.7500, 0.2500, 0.7500)  4 Rb 3.28
Pd (0.7500, 0.7500, 0.2500)  4 Rb 3.28

Record 3
A plane-wave DFT calculation with PBE-GGA was carried out for an optimized crystal structure of CdHg2Os.

Summary:
The space group is F-43m, No. 216. As for the calculated total energy: -37.749 eV per cell. The formation energy comes out at 819.8 meV/atom.

a = 6.7516 Å, b = 6.7516 Å, c = 6.7516 Å
α = 90.00°, β = 90.00°, γ = 90.00°
Closest atoms and distances in Å follow each position.
Fractional positions:
Cd (0.0000, 0.0000, 0.0000)  4 Hg 2.92, 4 Os 2.92
Cd (0.0000, 0.5000, 0.5000)  4 Hg 2.92, 4 Os 2.92
Cd (0.5000, 0.0000, 0.5000)  4 Hg 2.92, 4 Os 2.92
Cd (0.5000, 0.5000, 0.0000)  4 Hg 2.92, 4 Os 2.92
Hg (0.0000, 0.0000, 0.5000)  4 Os 2.92, 4 Hg 2.92
Hg (0.0000, 0.5000, 0.0000)  4 Os 2.92, 4 Hg 2.92
Hg (0.2500, 0.2500, 0.2500)  4 Hg 2.92, 4 Cd 2.92
Hg (0.2500, 0.7500, 0.7500)  4 Hg 2.92, 4 Cd 2.92
Hg (0.5000, 0.0000, 0.0000)  4 Os 2.92, 4 Hg 2.92
Hg (0.5000, 0.5000, 0.5000)  4 Os 2.92, 4 Hg 2.92
Hg (0.7500, 0.2500, 0.7500)  4 Hg 2.92, 4 Cd 2.92
Hg (0.7500, 0.7500, 0.2500)  4 Hg 2.92, 4 Cd 2.92
Os (0.2500, 0.2500, 0.7500)  4 Hg 2.92, 4 Cd 2.92
Os (0.2500, 0.7500, 0.2500)  4 Hg 2.92, 4 Cd 2.92
Os (0.7500, 0.2500, 0.2500)  4 Hg 2.92, 4 Cd 2.92
Os (0.7500, 0.7500, 0.7500)  4 Hg 2.92, 4 Cd 2.92

Record 4
A plane-wave DFT calculation with PBE-GGA was carried out for an optimized crystal structure of Y3Sc3Te2Os.

Summary:
The space group is P-62m, No. 189. As for the calculated total energy: -61.343 eV per cell.

a = 8.0893 Å, b = 8.0893 Å, c = 3.9313 Å
α = 90.00°, β = 90.00°, γ = 120.00°
Closest atoms and distances in Å follow each position.
Fractional positions:
Y (0.0000, 0.2482, 0.0000)  2 Os 2.81, 2 Te 3.10
Y (0.2482, 0.0000, 0.0000)  2 Os 2.81, 2 Te 3.10
Y (0.7518, 0.7518, 0.0000)  2 Os 2.81, 2 Te 3.10
Sc (0.0000, 0.6125, 0.5000)  1 Os 3.13, 4 Te 3.19, 4 Y 3.38
Sc (0.3875, 0.3875, 0.5000)  1 Os 3.13, 4 Te 3.19, 4 Y 3.38
Sc (0.6125, 0.0000, 0.5000)  1 Os 3.13, 4 Te 3.19, 4 Y 3.38
Te (0.3333, 0.6667, 0.0000)  3 Y 3.10, 6 Sc 3.19
Te (0.6667, 0.3333, 0.0000)  3 Y 3.10, 6 Sc 3.19
Os (0.0000, 0.0000, 0.5000)  6 Y 2.81, 3 Sc 3.13